12
Lattice="6.4040 0.0000 0.0000 -3.2020 5.5461 0.0000 0.0000 0.0000 10.1832" Properties=species:S:1:pos:R:3 comment="GGA-PBE Na2Gd, optimized geometry" e_above_lowest_polymorph_mev_per_atom=0.0 crystal_system=hexagonal pbc="T T T"
Gd 0.0000 3.6974 5.7255
Gd 0.0000 3.6974 9.5494
Na 3.2020 3.6460 7.6374
Gd 3.2020 1.8487 0.6339
Na 1.6455 0.9500 7.6374
Na 0.0000 0.0000 0.0000
Na 4.7585 0.9500 7.6374
Na 0.0000 1.9001 2.5458
Na 0.0000 0.0000 5.0916
Na 1.5565 4.5960 2.5458
Na -1.5565 4.5960 2.5458
Gd 3.2020 1.8487 4.4578

=====

11
Lattice="-2.0925 2.1318 12.2560 2.0925 -2.1318 12.2560 2.0925 2.1318 -12.2560" Properties=species:S:1:pos:R:3 comment="GGA-PBE PrNd2Si4Pd4, optimized geometry" total_energy_ev_per_atom=-6.089 crystal_system=orthorhombic pbc="T T T"
Nd 2.0925 0.0000 8.6518
Si 0.0000 2.1318 7.4353
Nd 0.0000 2.1318 3.6042
Pr 0.0000 0.0000 0.0000
Si 0.0000 0.0000 11.0564
Pd 2.0925 0.0000 2.3984
Si 0.0000 0.0000 13.4557
Pd 0.0000 2.1318 9.8576
Pd 0.0000 0.0000 18.4137
Pd 0.0000 0.0000 6.0984
Si 2.0925 0.0000 4.8207